MnBiIBr2 after structural relaxation, computed with GGA-PBE.

a b c (Å): 5.806 5.806 6.278
angles (deg): 90.00 90.00 90.00
Element x y z (fractional)
Mn  0.000  0.000  0.000
Bi  0.500  0.500  0.500
I  0.500  0.500  0.000
Br  0.000  0.500  0.500
Br  0.500  0.000  0.500

Results
Magnetic moment (μB/cell): 5.42
ΔE_f (raw) (eV per formula unit): 0.9
DOS at the Fermi energy (states/eV per atom): 1.557
Calculated density (Mg/m³): 4.321